A plane-wave DFT calculation with GGA-PBE was carried out for a relaxed ErFeC crystal. Values from VASP.

- uncorrected energy (eV for the cell shown) = -45.5
- magnetic moment (μB/atom) = 0.179
- space group = No. 11
- distance to the lowest polymorph of the same formula (meV per atom) = 0
- density of states at the Fermi level (states/eV per cell) = 4.80
- formation energy (kcal/mol of atoms) = -4.00

```
&SYSTEM
  ibrav = 0, nat = 6, ntyp = 3
/
ATOMIC_SPECIES
Er 167.26 Er.upf
Fe 55.84 Fe.upf
C 12.01 C.upf
CELL_PARAMETERS angstrom
5.408 0.000 0.000
0.000 3.228 0.000
-1.764 0.000 5.156
ATOMIC_POSITIONS crystal
Er 0.208 0.250 0.332
Er 0.792 0.750 0.668
Fe 0.358 0.750 0.853
Fe 0.642 0.250 0.147
C 0.499 0.750 0.225
C 0.501 0.250 0.775
```